# GaCu4Ge

GaCu4Ge after structural relaxation (PBE, Alexandria via LeMat-Bulk).

Its energy above the most stable polymorph in this dataset is 3 meV per atom. The calculation puts the energy of formation at -18 meV/atom.

It has space group Cmcm (No. 63), with a = 3.720 Å, b = 17.371 Å, c = 5.138 Å, α = 90.00°, β = 90.00° and γ = 90.00°. The inequivalent atoms are Ga at (0.000, 0.228, 0.250), Cu at (0.000, 0.077, 0.250), Cu at (0.000, 0.349, 0.503), Cu at (0.000, 0.500, 0.000) and Ge at (0.000, 0.079, 0.750).